# 1
# GGA-PBEsol Si3Ag, relaxed
# E above lowest polymorph: 5 meV per atom
# calculated volume: 60.21 Å³ per cell
# DOS at the Fermi energy: 0.4707 states/eV per atom
data_Si3Ag
_chemical_formula_sum 'Si3 Ag1'
_symmetry_space_group_name_H-M 'P -6 m 2'
_symmetry_Int_Tables_number 187
_symmetry_space_group_name_Hall 'P -6 2'
_cell_length_a 2.7818
_cell_length_b 2.7818
_cell_length_c 8.9850
_cell_angle_alpha 90.00
_cell_angle_beta 90.00
_cell_angle_gamma 120.00
loop_
_atom_site_label
_atom_site_type_symbol
_atom_site_fract_x
_atom_site_fract_y
_atom_site_fract_z
Si1 Si 0.0000 0.0000 0.0000
Si2 Si 0.3333 0.6667 0.2384
Ag1 Ag 0.0000 0.0000 0.5000

=====

# 2
# GGA-PBEsol Si3AgSn, relaxed
# total energy: -4.050 eV/atom
# calculated volume: 110.51 Å³ per cell
# DOS at the Fermi energy: 0.5021 states/eV per atom
data_Si3AgSn
_chemical_formula_sum 'Si3 Ag1 Sn1'
_symmetry_space_group_name_H-M 'P m -3 m'
_symmetry_Int_Tables_number 221
_symmetry_space_group_name_Hall '-P 4 2 3'
_cell_length_a 4.799
_cell_length_b 4.799
_cell_length_c 4.799
_cell_angle_alpha 90.00
_cell_angle_beta 90.00
_cell_angle_gamma 90.00
loop_
_atom_site_label
_atom_site_type_symbol
_atom_site_fract_x
_atom_site_fract_y
_atom_site_fract_z
Si1 Si 0.000 0.000 0.500
Ag1 Ag 0.000 0.000 0.000
Sn1 Sn 0.500 0.500 0.500

=====

# 3
# GGA-PBEsol SrSiAg2, relaxed
# total energy: -3.361 eV/atom
# calculated volume: 168.76 Å³ per cell
# DOS at the Fermi energy: 0.3028 states/eV per atom
data_SrSiAg2
_chemical_formula_sum 'Sr2 Si2 Ag4'
_symmetry_space_group_name_H-M 'C 1 2/m 1'
_symmetry_Int_Tables_number 12
_cell_length_a 6.034
_cell_length_b 10.173
_cell_length_c 3.152
_cell_angle_alpha 90.00
_cell_angle_beta 119.27
_cell_angle_gamma 90.00
loop_
_symmetry_equiv_pos_as_xyz
'x,y,z'
'-x,-y,-z'
'-x,y,-z'
'x,-y,z'
'x+1/2,y+1/2,z'
'-x+1/2,-y+1/2,-z'
'-x+1/2,y+1/2,-z'
'x+1/2,-y+1/2,z'
loop_
_atom_site_label
_atom_site_type_symbol
_atom_site_fract_x
_atom_site_fract_y
_atom_site_fract_z
Sr1 Sr 0.000 0.000 0.000
Si1 Si 0.000 0.500 0.000
Ag1 Ag 0.250 0.250 0.500

=====

# 4
# GGA-PBEsol TaSiAg, relaxed
# total energy: -7.104 eV/atom
# calculated volume: 95.64 Å³ per cell
# DOS at the Fermi energy: 0.3068 states/eV per atom
data_TaSiAg
_chemical_formula_sum 'Ta2 Si2 Ag2'
_symmetry_space_group_name_H-M 'I 4 m m'
_symmetry_Int_Tables_number 107
_symmetry_space_group_name_Hall 'I 4 -2'
_cell_length_a 2.778
_cell_length_b 2.778
_cell_length_c 12.395
_cell_angle_alpha 90.00
_cell_angle_beta 90.00
_cell_angle_gamma 90.00
loop_
_atom_site_label
_atom_site_type_symbol
_atom_site_fract_x
_atom_site_fract_y
_atom_site_fract_z
Ta1 Ta 0.000 0.000 0.000
Si1 Si 0.000 0.000 0.346
Ag1 Ag 0.000 0.000 0.679

=====

# 5
# GGA-PBEsol TaSiAg, relaxed
# total energy: -6.906 eV/atom
# calculated volume: 209.91 Å³ per cell
# DOS at the Fermi energy: 0.6234 states/eV per atom
data_TaSiAg
_chemical_formula_sum 'Ta4 Si4 Ag4'
_symmetry_space_group_name_H-M 'F -4 3 m'
_symmetry_Int_Tables_number 216
_symmetry_space_group_name_Hall 'F -4 2 3'
_cell_length_a 5.943
_cell_length_b 5.943
_cell_length_c 5.943
_cell_angle_alpha 90.00
_cell_angle_beta 90.00
_cell_angle_gamma 90.00
loop_
_atom_site_label
_atom_site_type_symbol
_atom_site_fract_x
_atom_site_fract_y
_atom_site_fract_z
Ta1 Ta 0.000 0.000 0.000
Si1 Si 0.250 0.250 0.250
Ag1 Ag 0.000 0.000 0.500

=====

# 6
# GGA-PBEsol TaSiAg, relaxed
# total energy: -7.153 eV/atom
# calculated volume: 192.24 Å³ per cell
# DOS at the Fermi energy: 0.1370 states/eV per atom
data_TaSiAg
_chemical_formula_sum 'Ta4 Si4 Ag4'
_symmetry_space_group_name_H-M 'F m m 2'
_symmetry_Int_Tables_number 42
_symmetry_space_group_name_Hall 'F 2 -2'
_cell_length_a 3.465
_cell_length_b 4.406
_cell_length_c 12.590
_cell_angle_alpha 90.00
_cell_angle_beta 90.00
_cell_angle_gamma 90.00
loop_
_atom_site_label
_atom_site_type_symbol
_atom_site_fract_x
_atom_site_fract_y
_atom_site_fract_z
Ta1 Ta 0.000 0.000 0.000
Si1 Si 0.000 0.000 0.654
Ag1 Ag 0.000 0.000 0.319

=====

# 7
# GGA-PBEsol Ta3SiAg, relaxed
# total energy: -7.288 eV/atom
# calculated volume: 109.62 Å³ per cell
# DOS at the Fermi energy: 0.7645 states/eV per atom
data_Ta3SiAg
_chemical_formula_sum 'Ta3 Si1 Ag1'
_symmetry_space_group_name_H-M 'P m -3 m'
_symmetry_Int_Tables_number 221
_symmetry_space_group_name_Hall '-P 4 2 3'
_cell_length_a 4.786
_cell_length_b 4.786
_cell_length_c 4.786
_cell_angle_alpha 90.00
_cell_angle_beta 90.00
_cell_angle_gamma 90.00
loop_
_atom_site_label
_atom_site_type_symbol
_atom_site_fract_x
_atom_site_fract_y
_atom_site_fract_z
Ta1 Ta 0.000 0.000 0.500
Si1 Si 0.500 0.500 0.500
Ag1 Ag 0.000 0.000 0.000

=====

# 8
# GGA-PBEsol TaSi2Ag, relaxed
# total energy: -6.820 eV/atom
# calculated volume: 60.40 Å³ per cell
# DOS at the Fermi energy: 0.4632 states/eV per atom
data_TaSi2Ag
_chemical_formula_sum 'Ta1 Si2 Ag1'
_symmetry_space_group_name_H-M 'P 4/m m m'
_symmetry_Int_Tables_number 123
_symmetry_space_group_name_Hall '-P 4 2'
_cell_length_a 4.219
_cell_length_b 4.219
_cell_length_c 3.394
_cell_angle_alpha 90.00
_cell_angle_beta 90.00
_cell_angle_gamma 90.00
loop_
_atom_site_label
_atom_site_type_symbol
_atom_site_fract_x
_atom_site_fract_y
_atom_site_fract_z
Ta1 Ta 0.000 0.000 0.000
Si1 Si 0.000 0.500 0.500
Ag1 Ag 0.500 0.500 0.000

=====

Number 1: total moment 0.00 μB/cell. Number 2: total moment 0.00 μB/cell. Number 3: total moment 0.00 μB/cell. Number 4: total moment 0.00 μB/cell. Number 5: total moment 0.00 μB/cell. Number 6: total moment 0.00 μB/cell. Number 7: total moment 0.00 μB/cell. Number 8: total moment 0.00 μB/cell.